Material: ZrTlS2Br
Method: DFT, PBE
State: optimized geometry

Values from the calculation:
E   -5.18 eV/atom
Volume   138.8 Å³/cell
ΔE_f (raw)   -5.0 eV per formula unit

abc: 5.0221 5.0221 5.5034
angles: 90.00 90.00 90.00
Last column: nearest neighbours and their distance in Å.
Space group P4/mmm (No. 123)
Inequivalent atoms, fractional coordinates:
Zr (0.0000, 0.0000, 0.0000)  4 S 2.51, 2 Br 2.75
Tl (0.5000, 0.5000, 0.5000)  4 Br 3.55, 8 S 3.73
S (0.0000, 0.5000, 0.0000)  2 Zr 2.51
Br (0.0000, 0.0000, 0.5000)  2 Zr 2.75

Material: Tm3S4Br
Method: DFT, PBE
State: optimized geometry

Values from the calculation:
E   -5.94 eV/atom
Volume   847.7 Å³/cell
ΔE_f (raw)   -15.9 eV per formula unit

abc: 13.7891 6.8498 9.5952
angles: 90.00 110.72 90.00
Last column: nearest neighbours and their distance in Å.
Space group Cc (No. 9)
Inequivalent atoms, fractional coordinates:
Tm (0.0000, 0.0056, 0.0000)  5 S 2.59-2.75
Tm (0.0931, 0.4862, 0.1892)  5 S 2.62-2.79, 1 Br 2.85
Tm (0.3652, 0.0200, 0.2791)  5 S 2.62-2.82, 1 Br 2.87
S (0.0578, 0.3391, 0.4288)  4 Tm 2.66-2.82
S (0.1780, 0.1597, 0.1473)  3 Tm 2.59-2.62
S (0.4028, 0.1716, 0.5505)  4 Tm 2.68-2.76
S (0.4848, 0.3060, 0.2400)  4 Tm 2.67-2.79
Br (0.2896, 0.3438, 0.8485)  3 Tm 2.85-2.96